No. 1
! GGA-PBE CoSnB4, optimized geometry; values from VASP
! V in Å³/f.u.: 58.2
! Raw total energy in eV per atom: -5.78
! Crystal system: orthorhombic
! Total magnetization in μB per formula unit: 1.5
! Theoretical density in g/cm³: 6.30
! Symmetry: Immm
&SYSTEM
  ibrav = 0, nat = 6, ntyp = 3
/
ATOMIC_SPECIES
B 10.81 B.upf
Co 58.93 Co.upf
Sn 118.71 Sn.upf
CELL_PARAMETERS angstrom
-1.5231 2.6703 3.5795
1.5231 -2.6703 3.5795
1.5231 2.6703 -3.5795
ATOMIC_POSITIONS angstrom
B 0.0000 1.7960 1.7185
B 1.5231 -0.8743 1.8610
B 0.0000 3.5447 1.7185
B 1.5231 0.8743 1.8610
Co 0.0000 0.0000 3.5795
Sn 0.0000 0.0000 0.0000

***

No. 2
! GGA-PBE CoSnB4, optimized geometry; values from VASP
! V in Å³/f.u.: 63.2
! Raw total energy in eV per atom: -5.98
! Crystal system: hexagonal
! Total magnetization in μB per formula unit: 0.0
! Theoretical density in g/cm³: 5.81
! Symmetry: P6/mmm
&SYSTEM
  ibrav = 0, nat = 6, ntyp = 3
/
ATOMIC_SPECIES
B 10.81 B.upf
Co 58.93 Co.upf
Sn 118.71 Sn.upf
CELL_PARAMETERS angstrom
3.0161 0.0000 0.0000
-1.5081 2.6120 0.0000
0.0000 0.0000 8.0162
ATOMIC_POSITIONS angstrom
B 1.5081 0.8707 1.3994
B 0.0000 1.7414 1.3994
B 1.5081 0.8707 6.6168
B 0.0000 1.7414 6.6168
Co 0.0000 0.0000 0.0000
Sn 0.0000 0.0000 4.0081

***

No. 3
! GGA-PBE SrCoB2, optimized geometry; values from VASP
! V in Å³/f.u.: 54.8
! Raw total energy in eV per atom: -3.97
! Crystal system: cubic
! Total magnetization in μB per formula unit: 1.3
! Theoretical density in g/cm³: 5.10
! Symmetry: F-43m
&SYSTEM
  ibrav = 0, nat = 4, ntyp = 3
/
ATOMIC_SPECIES
B 10.81 B.upf
Co 58.93 Co.upf
Sr 87.62 Sr.upf
CELL_PARAMETERS angstrom
-1.3097 -3.1126 2.6025
-3.7090 -1.9709 -0.7317
-0.0350 -4.0410 -1.3586
ATOMIC_POSITIONS angstrom
B 0.0000 0.0000 0.0000
B -3.7903 -6.8435 0.3842
Co -1.2634 -2.2811 0.1281
Sr -2.5269 -4.5623 0.2561

***

No. 4
! GGA-PBE Ta3Co4B7, optimized geometry; values from VASP
! V in Å³/f.u.: 129.8
! Raw total energy in eV per atom: -8.52
! Crystal system: orthorhombic
! Total magnetization in μB per formula unit: 0.0
! Theoretical density in g/cm³: 10.93
! Symmetry: Cmcm
&SYSTEM
  ibrav = 0, nat = 28, ntyp = 3
/
ATOMIC_SPECIES
B 10.81 B.upf
Co 58.93 Co.upf
Ta 180.95 Ta.upf
CELL_PARAMETERS angstrom
1.5975 -9.1706 0.0000
1.5975 9.1706 0.0000
0.0000 0.0000 8.8583
ATOMIC_POSITIONS angstrom
B 1.5975 8.8962 0.8247
B 1.5975 3.8625 1.2842
B 1.5975 7.1621 1.3072
B 1.5975 -8.3417 2.2146
B 1.5975 7.1621 3.1220
B 1.5975 3.8625 3.1449
B 1.5975 8.8962 3.6044
B 1.5975 -8.8962 5.2538
B 1.5975 -3.8625 5.7134
B 1.5975 -7.1621 5.7363
B 1.5975 8.3417 6.6437
B 1.5975 -7.1621 7.5511
B 1.5975 -3.8625 7.5740
B 1.5975 -8.8962 8.0336
Co 1.5975 5.5318 0.0607
Co 1.5975 -6.3011 2.2146
Co 1.5975 -0.7674 2.2146
Co 1.5975 5.5318 4.3684
Co 1.5975 -5.5318 4.4898
Co 1.5975 0.7674 6.6437
Co 1.5975 6.3011 6.6437
Co 1.5975 -5.5318 8.7976
Ta 1.5975 1.4911 0.4875
Ta 1.5975 -3.6333 2.2146
Ta 1.5975 1.4911 3.9417
Ta 1.5975 -1.4911 4.9166
Ta 1.5975 3.6333 6.6437
Ta 1.5975 -1.4911 8.3708